Here is a geometry-optimized MgCu6Pd8 structure from Alexandria. Energies are from PBE.

Values from the calculation:
- formation enthalpy at 0 K (eV per atom) = 0.005
- total energy (eV/f.u.) = -67.63
- calculated density (g/cm3) = 9.3
- total magnetization (μB per cell) = 0.0
- density of states at the Fermi level (states/eV per atom) = 0.44

```
data_MgCu6Pd8
_cell_length_a 7.7883
_cell_length_b 7.7883
_cell_length_c 12.8282
_cell_angle_alpha 90.00
_cell_angle_beta 90.00
_cell_angle_gamma 120.00
_symmetry_space_group_name_H-M 'R -3'
_symmetry_Int_Tables_number 148
_symmetry_space_group_name_Hall '-R 3'
loop_
_atom_site_label
_atom_site_type_symbol
_atom_site_fract_x
_atom_site_fract_y
_atom_site_fract_z
Mg1 Mg 0.0000 0.0000 0.0000
Cu1 Cu 0.0265 0.2048 0.4117
Pd1 Pd 0.0000 0.0000 0.2404
Pd2 Pd 0.0290 0.2912 0.9066
```

***

Here is a geometry-optimized Mg2Cu3Pd3 structure from Alexandria. Energies are from PBE.

Values from the calculation:
- formation enthalpy at 0 K (eV per atom) = -0.399
- total energy (eV/f.u.) = -34.25
- calculated density (g/cm3) = 8.0
- total magnetization (μB per cell) = 0.0
- density of states at the Fermi level (states/eV per atom) = 0.22

```
data_Mg2Cu3Pd3
_cell_length_a 3.902
_cell_length_b 4.032
_cell_length_c 7.338
_cell_angle_alpha 90.00
_cell_angle_beta 90.00
_cell_angle_gamma 90.00
_symmetry_space_group_name_H-M 'P m m m'
_symmetry_Int_Tables_number 47
loop_
_symmetry_equiv_pos_as_xyz
'x,y,z'
'-x,-y,-z'
'-x,-y,z'
'x,y,-z'
'x,-y,-z'
'-x,y,z'
'-x,y,-z'
'x,-y,z'
loop_
_atom_site_label
_atom_site_type_symbol
_atom_site_fract_x
_atom_site_fract_y
_atom_site_fract_z
Mg1 Mg 0.000 0.000 0.248
Cu1 Cu 0.000 0.500 0.500
Cu2 Cu 0.500 0.500 0.255
Pd1 Pd 0.000 0.500 0.000
Pd2 Pd 0.500 0.000 0.000
Pd3 Pd 0.500 0.000 0.500
```

***

Here is a geometry-optimized MgCu3Pd12 structure from Alexandria. Energies are from PBE.

Values from the calculation:
- formation enthalpy at 0 K (eV per atom) = -0.161
- total energy (eV/f.u.) = -78.78
- calculated density (g/cm3) = 10.4
- total magnetization (μB per cell) = 0.0
- density of states at the Fermi level (states/eV per atom) = 1.20

```
data_MgCu3Pd12
_cell_length_a 3.911
_cell_length_b 3.911
_cell_length_c 15.624
_cell_angle_alpha 90.00
_cell_angle_beta 90.00
_cell_angle_gamma 90.00
_symmetry_space_group_name_H-M 'P 4/m m m'
_symmetry_Int_Tables_number 123
_symmetry_space_group_name_Hall '-P 4 2'
loop_
_atom_site_label
_atom_site_type_symbol
_atom_site_fract_x
_atom_site_fract_y
_atom_site_fract_z
Mg1 Mg 0.000 0.000 0.000
Cu1 Cu 0.000 0.000 0.254
Cu2 Cu 0.000 0.000 0.500
Pd1 Pd 0.000 0.500 0.130
Pd2 Pd 0.000 0.500 0.377
Pd3 Pd 0.500 0.500 0.000
Pd4 Pd 0.500 0.500 0.253
Pd5 Pd 0.500 0.500 0.500
```

***

Here is a geometry-optimized Mg2CuPd structure from Alexandria. Energies are from PBE.

Values from the calculation:
- formation enthalpy at 0 K (eV per atom) = 0.173
- total energy (eV/f.u.) = -11.78
- calculated density (g/cm3) = 5.0
- total magnetization (μB per cell) = 0.0
- density of states at the Fermi level (states/eV per atom) = 0.41

```
data_Mg2CuPd
_cell_length_a 2.866
_cell_length_b 4.904
_cell_length_c 10.226
_cell_angle_alpha 90.00
_cell_angle_beta 90.00
_cell_angle_gamma 90.00
_symmetry_space_group_name_H-M 'I m m m'
_symmetry_Int_Tables_number 71
_symmetry_space_group_name_Hall '-I 2 2'
loop_
_atom_site_label
_atom_site_type_symbol
_atom_site_fract_x
_atom_site_fract_y
_atom_site_fract_z
Mg1 Mg 0.000 0.000 0.250
Cu1 Cu 0.000 0.000 0.000
Pd1 Pd 0.000 0.000 0.500
```

***

Here is a geometry-optimized Mg3Cu2Pd8 structure from Alexandria. Energies are from PBE.

Values from the calculation:
- formation enthalpy at 0 K (eV per atom) = -0.150
- total energy (eV/f.u.) = -56.47
- calculated density (g/cm3) = 7.8
- total magnetization (μB per cell) = 0.0
- density of states at the Fermi level (states/eV per atom) = 0.64

```
data_Mg3Cu2Pd8
_cell_length_a 5.2394
_cell_length_b 5.2394
_cell_length_c 28.1301
_cell_angle_alpha 90.00
_cell_angle_beta 90.00
_cell_angle_gamma 120.00
_symmetry_space_group_name_H-M 'R -3 m'
_symmetry_Int_Tables_number 166
_symmetry_space_group_name_Hall '-R 3 2"'
loop_
_atom_site_label
_atom_site_type_symbol
_atom_site_fract_x
_atom_site_fract_y
_atom_site_fract_z
Mg1 Mg 0.0000 0.0000 0.0000
Mg2 Mg 0.0000 0.0000 0.1834
Cu1 Cu 0.0000 0.0000 0.3612
Pd1 Pd 0.0000 0.0000 0.2749
Pd2 Pd 0.0011 0.5006 0.7679
```

***

Here is a geometry-optimized Mg2CuPd structure from Alexandria. Energies are from PBE.

Values from the calculation:
- formation enthalpy at 0 K (eV per atom) = -0.102
- total energy (eV/f.u.) = -12.89
- calculated density (g/cm3) = 5.2
- total magnetization (μB per cell) = 0.0
- density of states at the Fermi level (states/eV per atom) = 0.36

```
data_Mg2CuPd
_cell_length_a 7.040
_cell_length_b 7.040
_cell_length_c 5.594
_cell_angle_alpha 90.00
_cell_angle_beta 90.00
_cell_angle_gamma 90.00
_symmetry_space_group_name_H-M 'I -4 2 d'
_symmetry_Int_Tables_number 122
_symmetry_space_group_name_Hall 'I -4 2bw'
loop_
_atom_site_label
_atom_site_type_symbol
_atom_site_fract_x
_atom_site_fract_y
_atom_site_fract_z
Mg1 Mg 0.245 0.250 0.125
Cu1 Cu 0.000 0.000 0.000
Pd1 Pd 0.000 0.000 0.500
```